Entry 1:
Material: DyInPb3
Method: DFT, PBE
State: optimized geometry

Space-group type: Pmmn
Formation energy: -0.0588 eV per atom
Energy above the most stable polymorph in this dataset: 103.6 meV/atom

Cell lengths 5.0566, 6.5476, 9.6665 Å; angles 90.00, 90.00, 90.00 degrees
Closest atoms and distances in Å follow each position.
Fractional positions:
Dy 0.5000 0.0000 0.0963  8 Pb 3.15-3.41
Dy 0.0000 0.5000 0.9037  8 Pb 3.15-3.41
In 0.0000 0.0000 0.5617  7 Pb 3.29-3.46
In 0.5000 0.5000 0.4383  7 Pb 3.29-3.46
Pb 0.0000 0.7521 0.2641  4 Pb 3.25-3.42, 3 In 3.30-3.46, 2 Dy 3.41
Pb 0.5000 0.7479 0.7359  4 Pb 3.25-3.42, 3 In 3.30-3.46, 2 Dy 3.41
Pb 0.5000 0.2521 0.7359  4 Pb 3.25-3.42, 3 In 3.30-3.46, 2 Dy 3.41
Pb 0.0000 0.2479 0.2641  4 Pb 3.25-3.42, 3 In 3.30-3.46, 2 Dy 3.41
Pb 0.0000 0.0000 0.9023  4 Dy 3.15-3.27, 1 In 3.29, 4 Pb 3.42
Pb 0.5000 0.5000 0.0977  4 Dy 3.15-3.27, 1 In 3.29, 4 Pb 3.42



Entry 2:
Material: Ca3Tl5F12
Method: DFT, PBE
State: optimized geometry

E: -4.53 eV/atom
Space-group type: Ia-3d

Cell lengths 12.6266, 12.6266, 12.6266 Å; angles 109.47, 109.47, 109.47 degrees
Closest atoms and distances in Å follow each position.
Fractional positions:
Ca 0.7500 0.3750 0.1250  4 F 2.33
Ca 0.8750 0.7500 0.1250  4 F 2.33
Ca 0.3750 0.7500 0.6250  4 F 2.33
Ca 0.2500 0.1250 0.3750  4 F 2.33
Ca 0.8750 0.1250 0.2500  4 F 2.33
Ca 0.3750 0.6250 0.2500  4 F 2.33
Ca 0.6250 0.3750 0.7500  4 F 2.33
Ca 0.1250 0.8750 0.7500  4 F 2.33
Ca 0.7500 0.8750 0.6250  4 F 2.33
Ca 0.6250 0.2500 0.3750  4 F 2.33
Ca 0.1250 0.2500 0.8750  4 F 2.33
Ca 0.2500 0.6250 0.8750  4 F 2.33
Tl 0.1250 0.3750 0.2500  4 F 2.54
Tl 0.0000 0.5000 0.0000  6 F 2.58
Tl 0.0000 0.0000 0.0000  6 F 2.58
Tl 0.3750 0.2500 0.1250  4 F 2.54
Tl 0.5000 0.0000 0.5000  6 F 2.58
Tl 0.5000 0.5000 0.0000  6 F 2.58
Tl 0.1250 0.7500 0.3750  4 F 2.54
Tl 0.7500 0.1250 0.8750  4 F 2.54
Tl 0.7500 0.6250 0.3750  4 F 2.54
Tl 0.3750 0.1250 0.7500  4 F 2.54
Tl 0.6250 0.8750 0.2500  4 F 2.54
Tl 0.5000 0.5000 0.5000  6 F 2.58
Tl 0.5000 0.0000 0.0000  6 F 2.58
Tl 0.0000 0.0000 0.5000  6 F 2.58
Tl 0.2500 0.3750 0.6250  4 F 2.54
Tl 0.2500 0.8750 0.1250  4 F 2.54
Tl 0.0000 0.5000 0.5000  6 F 2.58
Tl 0.8750 0.2500 0.6250  4 F 2.54
Tl 0.6250 0.7500 0.8750  4 F 2.54
Tl 0.8750 0.6250 0.7500  4 F 2.54
F 0.7425 0.1309 0.0751  1 Ca 2.33, 2 Tl 2.54-2.58
F 0.3327 0.5751 0.4442  1 Ca 2.33, 2 Tl 2.54-2.58
F 0.9249 0.3691 0.2575  1 Ca 2.33, 2 Tl 2.54-2.58
F 0.5751 0.2425 0.1309  1 Ca 2.33, 2 Tl 2.54-2.58
F 0.6116 0.7425 0.6673  1 Ca 2.33, 2 Tl 2.54-2.58
F 0.9249 0.5558 0.1673  1 Ca 2.33, 2 Tl 2.54-2.58
F 0.3327 0.7575 0.3884  1 Ca 2.33, 2 Tl 2.54-2.58
F 0.0558 0.8884 0.1309  1 Ca 2.33, 2 Tl 2.54-2.58
F 0.5558 0.9249 0.6673  1 Ca 2.33, 2 Tl 2.54-2.58
F 0.7425 0.6116 0.1673  1 Ca 2.33, 2 Tl 2.54-2.58
F 0.7575 0.4249 0.3691  1 Ca 2.33, 2 Tl 2.54-2.58
F 0.8327 0.9442 0.0751  1 Ca 2.33, 2 Tl 2.54-2.58
F 0.1309 0.7425 0.5751  1 Ca 2.33, 2 Tl 2.54-2.58
F 0.3691 0.4442 0.1116  1 Ca 2.33, 2 Tl 2.54-2.58
F 0.1116 0.9442 0.3691  1 Ca 2.33, 2 Tl 2.54-2.58
F 0.3884 0.1309 0.5558  1 Ca 2.33, 2 Tl 2.54-2.58
F 0.1116 0.1673 0.2425  1 Ca 2.33, 2 Tl 2.54-2.58
F 0.4249 0.6673 0.0558  1 Ca 2.33, 2 Tl 2.54-2.58
F 0.8327 0.8884 0.2575  1 Ca 2.33, 2 Tl 2.54-2.58
F 0.1309 0.3884 0.0558  1 Ca 2.33, 2 Tl 2.54-2.58
F 0.3691 0.9249 0.7575  1 Ca 2.33, 2 Tl 2.54-2.58
F 0.5558 0.6309 0.3884  1 Ca 2.33, 2 Tl 2.54-2.58
F 0.9442 0.8327 0.5751  1 Ca 2.33, 2 Tl 2.54-2.58
F 0.7575 0.3327 0.8884  1 Ca 2.33, 2 Tl 2.54-2.58
F 0.4442 0.3691 0.6116  1 Ca 2.33, 2 Tl 2.54-2.58
F 0.0558 0.1673 0.4249  1 Ca 2.33, 2 Tl 2.54-2.58
F 0.2425 0.6673 0.1116  1 Ca 2.33, 2 Tl 2.54-2.58
F 0.1673 0.1116 0.7425  1 Ca 2.33, 2 Tl 2.54-2.58
F 0.6309 0.0751 0.2425  1 Ca 2.33, 2 Tl 2.54-2.58
F 0.8691 0.6116 0.9442  1 Ca 2.33, 2 Tl 2.54-2.58
F 0.5751 0.3327 0.9442  1 Ca 2.33, 2 Tl 2.54-2.58
F 0.6116 0.8691 0.4442  1 Ca 2.33, 2 Tl 2.54-2.58
F 0.8884 0.8327 0.7575  1 Ca 2.33, 2 Tl 2.54-2.58
F 0.8884 0.0558 0.6309  1 Ca 2.33, 2 Tl 2.54-2.58
F 0.8691 0.2575 0.4249  1 Ca 2.33, 2 Tl 2.54-2.58
F 0.1673 0.0558 0.9249  1 Ca 2.33, 2 Tl 2.54-2.58
F 0.6309 0.5558 0.8884  1 Ca 2.33, 2 Tl 2.54-2.58
F 0.4442 0.0751 0.3327  1 Ca 2.33, 2 Tl 2.54-2.58
F 0.2575 0.3884 0.8327  1 Ca 2.33, 2 Tl 2.54-2.58
F 0.2425 0.5751 0.6309  1 Ca 2.33, 2 Tl 2.54-2.58
F 0.9442 0.1116 0.8691  1 Ca 2.33, 2 Tl 2.54-2.58
F 0.6673 0.2425 0.6116  1 Ca 2.33, 2 Tl 2.54-2.58
F 0.4249 0.7575 0.8691  1 Ca 2.33, 2 Tl 2.54-2.58
F 0.0751 0.4442 0.8327  1 Ca 2.33, 2 Tl 2.54-2.58
F 0.3884 0.2575 0.3327  1 Ca 2.33, 2 Tl 2.54-2.58
F 0.0751 0.6309 0.7425  1 Ca 2.33, 2 Tl 2.54-2.58
F 0.6673 0.4249 0.5558  1 Ca 2.33, 2 Tl 2.54-2.58
F 0.2575 0.8691 0.9249  1 Ca 2.33, 2 Tl 2.54-2.58



Entry 3:
Material: CsNa2YBr6
Method: DFT, PBE
State: optimized geometry

E: -3.74 eV/atom
Space-group type: R3

Cell lengths 7.6987, 7.6989, 8.3816 Å; angles 62.67, 62.67, 60.01 degrees
Closest atoms and distances in Å follow each position.
Fractional positions:
Cs 0.7943 0.7942 0.6173  6 Br 3.52-3.85
Na 0.5208 0.5208 0.4377  6 Br 3.04-3.12
Na 0.9997 0.9998 0.0007  6 Br 2.96-3.10
Y 0.3277 0.3277 0.0169  6 Br 2.83-2.84
Br 0.5711 0.2608 0.2247  1 Y 2.83, 2 Na 3.04-3.10
Br 0.2609 0.9434 0.2246  1 Y 2.83, 2 Na 3.04-3.10
Br 0.9434 0.5711 0.2246  1 Y 2.83, 2 Na 3.04-3.10
Br 0.3190 0.7291 0.7563  1 Y 2.84, 2 Na 2.96-3.12
Br 0.7291 0.1956 0.7562  1 Y 2.84, 2 Na 2.96-3.12
Br 0.1956 0.3190 0.7562  1 Y 2.84, 2 Na 2.96-3.12



Entry 4:
Material: Pr8Bi4SbTe3
Method: DFT, PBE
State: optimized geometry

E: -5.40 eV/atom
Space-group type: R-3m

Cell lengths 9.1950, 9.1794, 9.1952 Å; angles 120.05, 120.00, 90.00 degrees
Closest atoms and distances in Å follow each position.
Fractional positions:
Pr 0.2476 0.7488 0.0011  1 Sb 3.22, 3 Bi 3.24-3.28, 2 Te 3.26
Pr 0.2478 0.7489 0.4956  1 Sb 3.22, 3 Bi 3.24-3.28, 2 Te 3.26
Pr 0.2492 0.2475 0.4984  3 Bi 3.24, 3 Te 3.26
Pr 0.7535 0.7488 0.0011  1 Sb 3.22, 3 Bi 3.24-3.28, 2 Te 3.26
Pr 0.2465 0.2512 0.9989  1 Sb 3.22, 3 Bi 3.24-3.28, 2 Te 3.26
Pr 0.7508 0.7525 0.5016  3 Bi 3.24, 3 Te 3.26
Pr 0.7522 0.2511 0.5044  1 Sb 3.22, 3 Bi 3.24-3.28, 2 Te 3.26
Pr 0.7524 0.2512 0.9989  1 Sb 3.22, 3 Bi 3.24-3.28, 2 Te 3.26
Bi 0.5000 0.0000 0.0000  6 Pr 3.28
Bi 0.5000 0.0000 0.5000  6 Pr 3.24
Bi 0.0000 0.0000 0.0000  6 Pr 3.24
Bi 0.0000 0.0000 0.5000  6 Pr 3.24
Sb 0.0000 0.5000 0.0000  6 Pr 3.22
Te 0.5000 0.5000 0.0000  6 Pr 3.26
Te 0.5000 0.5000 0.5000  6 Pr 3.26
Te 0.0000 0.5000 0.5000  6 Pr 3.26



Entry 5:
Material: SiAgMo
Method: DFT, PBE
State: optimized geometry

Space-group type: P-6m2
Energy above the most stable polymorph in this dataset: 40.9 meV/atom

Cell lengths 4.3864, 4.3864, 2.7582 Å; angles 90.00, 90.00, 120.00 degrees
Closest atoms and distances in Å follow each position.
Fractional positions:
Ag 0.0000 0.0000 0.8334  3 Si 2.53, 2 Ag 2.76
Mo 0.6667 0.3333 0.3334  2 Mo 2.76, 6 Si 2.88, 6 Ag 2.88
Si 0.3333 0.6667 0.8331  3 Ag 2.53, 2 Si 2.76



Entry 6:
Material: Tb2Sm3Ho5
Method: DFT, PBE
State: optimized geometry

Space-group type: C2/c
Formation energy: 0.1962 eV per atom
Energy above the most stable polymorph in this dataset: 0.0 meV/atom

Cell lengths 9.4202, 9.4090, 11.0972 Å; angles 125.17, 125.19, 69.00 degrees
Closest atoms and distances in Å follow each position.
Fractional positions:
Tb 0.7722 0.0134 0.7386  2 Sm 3.15-3.29, 4 Ho 3.29-3.46
Tb 0.2278 0.9866 0.2614  2 Sm 3.15-3.29, 4 Ho 3.29-3.46
Tb 0.4664 0.7252 0.7386  2 Sm 3.15-3.29, 4 Ho 3.29-3.46
Tb 0.5336 0.2748 0.2614  2 Sm 3.15-3.29, 4 Ho 3.29-3.46
Sm 0.2329 0.9829 0.9657  4 Tb 3.29-3.55, 3 Ho 3.30-3.59, 2 Sm 3.50
Sm 0.7671 0.0171 0.0343  4 Tb 3.29-3.55, 3 Ho 3.30-3.59, 2 Sm 3.50
Sm 0.7312 0.4722 0.2507  1 Tb 3.15, 5 Ho 3.29-3.49, 1 Sm 3.50
Sm 0.2688 0.5278 0.7493  1 Tb 3.15, 5 Ho 3.29-3.49, 1 Sm 3.50
Sm 0.0196 0.7785 0.2507  1 Tb 3.15, 5 Ho 3.29-3.49, 1 Sm 3.50
Sm 0.9804 0.2215 0.7493  1 Tb 3.15, 5 Ho 3.29-3.49, 1 Sm 3.50
Ho 0.2727 0.5227 0.0453  1 Ho 3.16, 2 Sm 3.29
Ho 0.7273 0.4773 0.9547  1 Ho 3.16, 2 Sm 3.29
Ho 0.0246 0.7746 0.5492  5 Sm 3.30-3.44, 2 Tb 3.41, 2 Ho 3.48
Ho 0.5284 0.2784 0.5568  3 Ho 3.16-3.52, 4 Tb 3.29-3.45, 2 Sm 3.49
Ho 0.9754 0.2254 0.4508  5 Sm 3.30-3.44, 2 Tb 3.41, 2 Ho 3.48
Ho 0.4716 0.7216 0.4432  3 Ho 3.16-3.52, 4 Tb 3.29-3.45, 2 Sm 3.49
Ho 0.8552 0.6050 0.7320  3 Sm 3.45-3.61, 2 Tb 3.46-3.60, 3 Ho 3.48-3.65
Ho 0.1448 0.3950 0.2680  3 Sm 3.45-3.61, 2 Tb 3.46-3.60, 3 Ho 3.48-3.65
Ho 0.3768 0.1270 0.7320  3 Sm 3.45-3.61, 2 Tb 3.46-3.60, 3 Ho 3.48-3.65
Ho 0.6232 0.8730 0.2680  3 Sm 3.45-3.61, 2 Tb 3.46-3.60, 3 Ho 3.48-3.65



Entry 7:
Material: Rh2C3
Method: DFT, PBE
State: optimized geometry

Space-group type: R-3m
Formation energy: 0.6686 eV per atom
Energy above the most stable polymorph in this dataset: 13.8 meV/atom

Cell lengths 11.6400, 11.6400, 11.6400 Å; angles 12.98, 12.98, 12.98 degrees
Closest atoms and distances in Å follow each position.
Fractional positions:
Rh 0.3745 0.3745 0.3745  3 C 2.08
Rh 0.6255 0.6255 0.6255  3 C 2.08
C 0.0000 0.0000 0.0000  6 Rh 2.08
C 0.8333 0.8333 0.8333  3 C 1.52
C 0.1667 0.1667 0.1667  3 C 1.52



Entry 8:
Material: Cs2LaTlCl6
Method: DFT, PBE
State: optimized geometry

Space-group type: P2_1/c
Energy above the most stable polymorph in this dataset: 0.0 meV/atom

Cell lengths 8.0455, 8.4228, 11.5398 Å; angles 90.00, 89.45, 90.00 degrees
Closest atoms and distances in Å follow each position.
Fractional positions:
Cs 0.0199 0.9386 0.2509  6 Cl 3.52-3.80
Cs 0.5199 0.5614 0.7509  6 Cl 3.52-3.80
Cs 0.9801 0.0614 0.7491  6 Cl 3.52-3.80
Cs 0.4801 0.4386 0.2491  6 Cl 3.52-3.80
La 0.5000 0.0000 0.5000  6 Cl 2.79-2.80
La 0.0000 0.5000 0.0000  6 Cl 2.79-2.80
Tl 0.5000 0.0000 0.0000  6 Cl 3.20-3.24
Tl 0.0000 0.5000 0.5000  6 Cl 3.20-3.24
Cl 0.2801 0.6863 0.0450  1 La 2.80
Cl 0.7801 0.8137 0.5450  1 La 2.80
Cl 0.7199 0.3137 0.9550  1 La 2.80
Cl 0.2199 0.1863 0.4550  1 La 2.80
Cl 0.3182 0.7255 0.4478  1 La 2.80
Cl 0.8182 0.7745 0.9478  1 La 2.80
Cl 0.6818 0.2745 0.5522  1 La 2.80
Cl 0.1818 0.2255 0.0522  1 La 2.80
Cl 0.9058 0.5324 0.2325  1 La 2.79
Cl 0.4058 0.9676 0.7325  1 La 2.79
Cl 0.0942 0.4676 0.7675  1 La 2.79
Cl 0.5942 0.0324 0.2675  1 La 2.79



Entry 9:
Material: CaNd2Zn2Pd5
Method: DFT, PBE
State: optimized geometry

Space-group type: P4/mbm
Formation energy: -0.6553 eV per atom

Cell lengths 3.9204, 10.0800, 10.0800 Å; angles 90.00, 90.00, 90.00 degrees
Closest atoms and distances in Å follow each position.
Fractional positions:
Ca 0.0000 0.0000 0.0000  8 Pd 3.04
Ca 0.0000 0.5000 0.5000  8 Pd 3.04
Nd 0.0000 0.6790 0.1790  3 Zn 2.93-3.04, 6 Pd 3.22
Nd 0.0000 0.3210 0.8210  3 Zn 2.93-3.04, 6 Pd 3.22
Nd 0.0000 0.1790 0.3210  3 Zn 2.93-3.04, 6 Pd 3.22
Nd 0.0000 0.8210 0.6790  3 Zn 2.93-3.04, 6 Pd 3.22
Zn 0.0000 0.1155 0.6155  6 Pd 2.56-2.61
Zn 0.0000 0.8845 0.3845  6 Pd 2.56-2.61
Zn 0.0000 0.6155 0.8845  6 Pd 2.56-2.61
Zn 0.0000 0.3845 0.1155  6 Pd 2.56-2.61
Pd 0.5000 0.2191 0.0704  2 Zn 2.61, 1 Pd 2.92
Pd 0.5000 0.7809 0.9296  2 Zn 2.61, 1 Pd 2.92
Pd 0.5000 0.0704 0.7809  2 Zn 2.61, 1 Pd 2.92
Pd 0.5000 0.7191 0.4296  2 Zn 2.61, 1 Pd 2.92
Pd 0.5000 0.9296 0.2191  2 Zn 2.61, 1 Pd 2.92
Pd 0.5000 0.2809 0.5704  2 Zn 2.61, 1 Pd 2.92
Pd 0.5000 0.5704 0.7191  2 Zn 2.61, 1 Pd 2.92
Pd 0.5000 0.4296 0.2809  2 Zn 2.61, 1 Pd 2.92
Pd 0.5000 0.5000 0.0000  4 Zn 2.56
Pd 0.5000 0.0000 0.5000  4 Zn 2.56



Entry 10:
Material: Ac3Pm4Se8
Method: DFT, PBE
State: optimized geometry

E: -5.81 eV/atom
Space-group type: C2/m

Cell lengths 8.5621, 8.6438, 8.6438 Å; angles 89.99, 119.72, 119.72 degrees
Closest atoms and distances in Å follow each position.
Fractional positions:
Ac 0.5000 0.5000 0.0000  6 Se 3.05-3.06
Ac 0.5000 0.0000 0.5000  6 Se 3.05-3.06
Ac 0.5000 0.5000 0.5000  6 Se 3.12-3.13
Pm 0.5000 0.0000 0.0000  6 Se 2.98-2.99
Pm 0.0000 0.5000 0.0000  6 Se 3.05-3.06
Pm 0.0000 0.0000 0.0000  6 Se 3.00-3.02
Pm 0.0000 0.0000 0.5000  6 Se 3.05-3.06
Se 0.4907 0.2394 0.2394  2 Pm 2.98-3.00, 3 Ac 3.06-3.13
Se 0.0000 0.7538 0.2462  3 Pm 3.01-3.06, 2 Ac 3.05
Se 0.9893 0.2420 0.2420  4 Pm 2.99-3.06, 1 Ac 3.12
Se 0.5000 0.7558 0.2442  3 Pm 2.99-3.05, 3 Ac 3.06-3.13
Se 0.5000 0.2442 0.7558  3 Pm 2.99-3.05, 3 Ac 3.06-3.13
Se 0.0107 0.7580 0.7580  4 Pm 2.99-3.06, 1 Ac 3.12
Se 0.0000 0.2462 0.7538  3 Pm 3.01-3.06, 2 Ac 3.05
Se 0.5093 0.7606 0.7606  2 Pm 2.98-3.00, 3 Ac 3.06-3.13



Entry 11:
Material: Th6InHg5
Method: DFT, PBE
State: optimized geometry

Space-group type: Cmmm
Formation energy: -0.1910 eV per atom

Cell lengths 5.5069, 7.4619, 8.7254 Å; angles 90.00, 71.61, 90.00 degrees
Closest atoms and distances in Å follow each position.
Fractional positions:
Hg 0.6655 0.5000 0.6689  8 Th 3.32-3.34
Hg 0.3306 0.0000 0.3388  8 Th 3.30-3.37
Hg 0.0000 0.5000 0.0000  8 Th 3.32-3.33
Hg 0.6694 0.0000 0.6612  8 Th 3.30-3.37
Hg 0.3345 0.5000 0.3311  8 Th 3.32-3.34
Th 0.8334 0.7481 0.3333  7 Hg 3.30-3.34, 1 In 3.34
Th 0.8334 0.2519 0.3333  7 Hg 3.30-3.34, 1 In 3.34
Th 0.5000 0.2492 0.0000  6 Hg 3.32-3.37, 2 In 3.32
Th 0.5000 0.7508 0.0000  6 Hg 3.32-3.37, 2 In 3.32
Th 0.1666 0.7481 0.6667  7 Hg 3.30-3.34, 1 In 3.34
Th 0.1666 0.2519 0.6667  7 Hg 3.30-3.34, 1 In 3.34
In 0.0000 0.0000 0.0000  8 Th 3.32-3.34



Entry 12:
Material: ErTcB4
Method: DFT, PBE
State: optimized geometry

Space-group type: F-43m
Formation energy: 0.4412 eV per atom
Energy above the most stable polymorph in this dataset: 1088.2 meV/atom

Cell lengths 4.4493, 4.4493, 4.4493 Å; angles 60.00, 60.00, 60.00 degrees
Closest atoms and distances in Å follow each position.
Fractional positions:
B 0.6011 0.6011 0.1968  3 B 1.80
B 0.6011 0.1968 0.6011  3 B 1.80
B 0.6011 0.6011 0.6011  3 B 1.80
B 0.1968 0.6011 0.6011  3 B 1.80
Tc 0.0000 0.0000 0.0000  12 B 2.67, 4 Er 2.72
Er 0.2500 0.2500 0.2500  12 B 2.58, 4 Tc 2.72